[1]
A plane-wave DFT calculation with GGA-PBE was carried out for a relaxed structure of Ac4TbPr.

a = 8.5777 Å, b = 8.5777 Å, c = 5.5048 Å
α = 90.00°, β = 90.00°, γ = 37.75°
Element x y z (fractional)
Pr: 0.5000 0.5000 0.5000
Ac: 0.6615 0.6615 0.0000
Ac: 0.8391 0.8391 0.5000
Ac: 0.1609 0.1609 0.5000
Ac: 0.3385 0.3385 0.0000
Tb: 0.0000 0.0000 0.0000

Summary:
- Offset from the most stable computed form: 0.0000 eV/atom
- DFT formation energy: 0.038 eV/atom

[2]
A plane-wave DFT calculation with GGA-PBE was carried out for a relaxed structure of Ac12TbPr5.

a = 11.7190 Å, b = 11.6748 Å, c = 6.7277 Å
α = 73.77°, β = 90.00°, γ = 59.87°
Element x y z (fractional)
Pr: 0.4999 0.0002 0.4999
Pr: 0.6668 0.6665 0.0010
Pr: 0.8339 0.3323 0.5021
Pr: 0.1660 0.6680 0.4978
Pr: 0.3334 0.3332 0.9991
Ac: 0.0023 0.6678 0.9996
Ac: 0.4976 0.3337 0.4991
Ac: 0.6701 0.3319 0.0003
Ac: 0.8312 0.6666 0.5010
Ac: 0.1630 0.0001 0.5000
Ac: 0.6655 0.9999 0.0000
Ac: 0.3299 0.6678 0.9996
Ac: 0.3346 0.9999 0.9999
Ac: 0.9979 0.3320 0.0003
Ac: 0.8369 0.0001 0.5000
Ac: 0.5023 0.6666 0.5010
Ac: 0.1687 0.3337 0.4991
Tb: 0.0001 0.9999 0.0000

Summary:
- DFT formation energy: 0.034 eV/atom

[3]
A plane-wave DFT calculation with GGA-PBE was carried out for a relaxed structure of AcTb4Pr2.

a = 5.8525 Å, b = 9.3871 Å, c = 9.3871 Å
α = 90.00°, β = 90.00°, γ = 90.00°
Element x y z (fractional)
Tb: 0.5000 0.6251 0.1144
Tb: 0.0000 0.3856 0.1251
Tb: 0.5000 0.8856 0.3749
Tb: 0.5000 0.1144 0.6251
Tb: 0.0000 0.1251 0.3856
Tb: 0.5000 0.3749 0.8856
Tb: 0.0000 0.8749 0.6144
Tb: 0.0000 0.6144 0.8749
Pr: 0.5000 0.3025 0.3025
Pr: 0.0000 0.8025 0.1975
Pr: 0.0000 0.1975 0.8025
Pr: 0.5000 0.6975 0.6975
Ac: 0.5000 0.0000 0.0000
Ac: 0.0000 0.5000 0.5000

Summary:
- Offset from the most stable computed form: 0.1631 eV/atom
- DFT formation energy: 0.204 eV/atom

[4]
A plane-wave DFT calculation with GGA-PBE was carried out for a relaxed structure of Ac2Tb2Pr7.

a = 6.4059 Å, b = 8.3585 Å, c = 8.3585 Å
α = 91.90°, β = 74.04°, γ = 74.04°
Element x y z (fractional)
Pr: 0.8164 0.4191 0.9324
Pr: 0.1836 0.5809 0.0676
Pr: 0.0000 0.0000 0.0000
Pr: 0.5678 0.7767 0.7767
Pr: 0.1836 0.0676 0.5809
Pr: 0.8164 0.9324 0.4191
Pr: 0.4322 0.2233 0.2233
Tb: 0.5000 0.2138 0.7862
Tb: 0.5000 0.7862 0.2138
Ac: 0.8136 0.4023 0.4023
Ac: 0.1864 0.5977 0.5977

Summary:
- Offset from the most stable computed form: 0.0000 eV/atom
- DFT formation energy: 0.123 eV/atom

[5]
A plane-wave DFT calculation with GGA-PBE was carried out for a relaxed structure of AcTb6Pr3.

a = 9.1102 Å, b = 9.2484 Å, c = 9.2484 Å
α = 116.59°, β = 90.00°, γ = 90.00°
Element x y z (fractional)
Tb: 0.1640 0.4704 0.1799
Tb: 0.8242 0.9717 0.6784
Tb: 0.1640 0.8201 0.5296
Tb: 0.1810 0.0517 0.9483
Tb: 0.4504 0.2166 0.7834
Tb: 0.6640 0.5296 0.8201
Tb: 0.3242 0.0283 0.3216
Tb: 0.3242 0.6784 0.9717
Tb: 0.9504 0.7834 0.2166
Tb: 0.8242 0.3216 0.0283
Tb: 0.6640 0.1799 0.4704
Tb: 0.6810 0.9483 0.0517
Pr: 0.3164 0.4520 0.5480
Pr: 0.8164 0.5480 0.4520
Pr: 0.9920 0.1793 0.3016
Pr: 0.4920 0.8207 0.6984
Pr: 0.9920 0.6984 0.8207
Pr: 0.4920 0.3016 0.1793
Ac: 0.0773 0.2776 0.7224
Ac: 0.5773 0.7224 0.2776

Summary:
- Offset from the most stable computed form: 0.0000 eV/atom
- DFT formation energy: 0.133 eV/atom

[6]
A plane-wave DFT calculation with GGA-PBE was carried out for a relaxed structure of AcTbPr.

a = 3.7776 Å, b = 3.7776 Å, c = 9.4030 Å
α = 78.41°, β = 78.41°, γ = 60.00°
Element x y z (fractional)
Pr: 0.5550 0.5550 0.3351
Tb: 0.3261 0.3261 0.0218
Ac: 0.1043 0.1043 0.6870

Summary:
- Offset from the most stable computed form: 0.0154 eV/atom
- DFT formation energy: 0.054 eV/atom

[7]
A plane-wave DFT calculation with GGA-PBE was carried out for a relaxed structure of Ac6Tb4Pr.

a = 9.6572 Å, b = 9.6572 Å, c = 9.6572 Å
α = 66.30°, β = 134.51°, γ = 134.51°
Element x y z (fractional)
Ac: 0.5000 0.5000 0.0000
Ac: 0.0000 0.9854 0.3826
Ac: 0.6028 0.6174 0.6174
Ac: 0.3972 0.0146 0.0146
Ac: 0.0000 0.3826 0.9854
Ac: 0.5000 0.0000 0.5000
Tb: 0.6911 0.4419 0.4419
Tb: 0.0000 0.2492 0.5581
Tb: 0.0000 0.5581 0.2492
Tb: 0.3089 0.7508 0.7508
Pr: 0.0000 0.0000 0.0000

Summary:
- DFT formation energy: 0.315 eV/atom

[8]
A plane-wave DFT calculation with GGA-PBE was carried out for a relaxed structure of AcTb2Pr.

a = 3.7294 Å, b = 3.7294 Å, c = 12.1763 Å
α = 81.19°, β = 81.19°, γ = 60.00°
Element x y z (fractional)
Ac: 0.5003 0.5003 0.4990
Tb: 0.0806 0.0806 0.7582
Tb: 0.2525 0.2525 0.2424
Pr: 0.6665 0.6665 0.0004

Summary:
- Offset from the most stable computed form: 0.0163 eV/atom
- DFT formation energy: 0.053 eV/atom